Record 1
Material: UTiCo6
Method: DFT, PBE
State: optimized geometry

Output
formation energy	-0.28	eV/atom
N(E_F)	1.006	states/eV per atom

abc: 5.1827 5.1827 3.6808
angles: 90.00 90.00 90.00
With the nearest neighbours (Å) after each atom.
Fractional coordinates of all 8 atoms:
U: 0.0000 0.0000 0.0000  12 Co 2.59-2.62
Ti: 0.5000 0.5000 0.0000  12 Co 2.58-2.59
Co: 0.0000 0.5000 0.0000  2 U 2.59, 2 Ti 2.59, 8 Co 2.60
Co: 0.2538 0.2538 0.5000  8 Co 2.55-2.63, 2 Ti 2.58, 2 U 2.62
Co: 0.2538 0.7462 0.5000  8 Co 2.55-2.63, 2 Ti 2.58, 2 U 2.62
Co: 0.5000 0.0000 0.0000  2 U 2.59, 2 Ti 2.59, 8 Co 2.60
Co: 0.7462 0.2538 0.5000  8 Co 2.55-2.63, 2 Ti 2.58, 2 U 2.62
Co: 0.7462 0.7462 0.5000  8 Co 2.55-2.63, 2 Ti 2.58, 2 U 2.62

Record 2
Material: U2TiCo9
Method: DFT, PBE
State: optimized geometry

Output
formation energy	-0.27	eV/atom
N(E_F)	0.636	states/eV per atom

abc: 3.7235 3.7235 10.9487
angles: 90.00 90.00 90.00
With the nearest neighbours (Å) after each atom.
Fractional coordinates of all 12 atoms:
U: 0.0000 0.0000 0.1739  12 Co 2.61-2.66
U: 0.0000 0.0000 0.8261  12 Co 2.61-2.66
Ti: 0.0000 0.0000 0.5000  12 Co 2.55-2.63
Co: 0.0000 0.5000 0.0000  8 Co 2.63-2.64, 4 U 2.66
Co: 0.0000 0.5000 0.3406  8 Co 2.55-2.63, 2 Ti 2.55, 2 U 2.61
Co: 0.0000 0.5000 0.6594  8 Co 2.55-2.63, 2 Ti 2.55, 2 U 2.61
Co: 0.5000 0.0000 0.0000  8 Co 2.63-2.64, 4 U 2.66
Co: 0.5000 0.0000 0.3406  8 Co 2.55-2.63, 2 Ti 2.55, 2 U 2.61
Co: 0.5000 0.0000 0.6594  8 Co 2.55-2.63, 2 Ti 2.55, 2 U 2.61
Co: 0.5000 0.5000 0.1707  8 Co 2.63-2.64, 4 U 2.63
Co: 0.5000 0.5000 0.5000  8 Co 2.55, 4 Ti 2.63
Co: 0.5000 0.5000 0.8293  8 Co 2.63-2.64, 4 U 2.63

Record 3
Material: UTiCo4
Method: DFT, PBE
State: optimized geometry

Output
formation energy	-0.21	eV/atom
N(E_F)	1.387	states/eV per atom

abc: 4.8050 4.8050 4.8050
angles: 60.00 60.00 60.00
With the nearest neighbours (Å) after each atom.
Fractional coordinates of all 6 atoms:
U: 0.0000 0.0000 0.0000  12 Co 2.82, 4 Ti 2.94
Ti: 0.2500 0.2500 0.2500  12 Co 2.82, 4 U 2.94
Co: 0.1266 0.6245 0.6245  6 Co 2.39-2.41
Co: 0.6245 0.1266 0.6245  6 Co 2.39-2.41
Co: 0.6245 0.6245 0.1266  6 Co 2.39-2.41
Co: 0.6245 0.6245 0.6245  6 Co 2.39-2.41

Record 4
Material: UTiCo
Method: DFT, PBE
State: optimized geometry

Output
formation energy	0.12	eV/atom
N(E_F)	1.737	states/eV per atom

abc: 6.6182 6.3110 4.2944
angles: 74.52 66.78 38.71
With the nearest neighbours (Å) after each atom.
Fractional coordinates of all 6 atoms:
U: 0.1846 0.8154 0.1846  1 U 2.47, 2 Co 2.50
U: 0.8154 0.1846 0.8154  1 U 2.47, 2 Co 2.50
Ti: 0.2500 0.2500 0.2500  4 Co 2.63, 2 Ti 2.69
Ti: 0.7500 0.7500 0.7500  4 Co 2.63, 2 Ti 2.69
Co: 0.3829 0.3829 0.6171  2 U 2.50, 4 Ti 2.63, 1 Co 2.67
Co: 0.6171 0.6171 0.3829  2 U 2.50, 4 Ti 2.63, 1 Co 2.67

Record 5
Material: TiVCo2
Method: DFT, PBE
State: optimized geometry

Output
relative energy among the computed polymorphs	393.0	meV per atom
formation energy	0.18	eV/atom
N(E_F)	1.788	states/eV per atom

abc: 5.2154 5.2154 5.2154
angles: 103.88 103.88 121.35
With the nearest neighbours (Å) after each atom.
Fractional coordinates of all 8 atoms:
Ti: 0.0000 0.0000 0.0000  4 Co 2.45, 2 V 2.55
Ti: 0.7500 0.2500 0.5000  4 Co 2.45, 2 V 2.55
V: 0.2500 0.7500 0.5000  4 Co 2.28
V: 0.5000 0.5000 0.0000  4 Co 2.28
Co: 0.1452 0.6250 0.0202  2 V 2.28, 2 Ti 2.45
Co: 0.3750 0.3952 0.5202  2 V 2.28, 2 Ti 2.45
Co: 0.6048 0.1250 0.9798  2 V 2.28, 2 Ti 2.45
Co: 0.8750 0.8548 0.4798  2 V 2.28, 2 Ti 2.45

Record 6
Material: TiV2Co
Method: DFT, PBE
State: optimized geometry

Output
relative energy among the computed polymorphs	0.0	meV per atom
formation energy	-0.16	eV/atom
N(E_F)	0.915	states/eV per atom

abc: 5.0577 5.0577 5.0577
angles: 145.40 133.03 59.63
With the nearest neighbours (Å) after each atom.
Fractional coordinates of all 4 atoms:
Ti: 0.0000 0.0000 0.0000  4 Co 2.51, 4 V 2.71
V: 0.2565 0.7565 0.5000  4 V 2.52, 2 Co 2.61, 2 Ti 2.71
V: 0.7435 0.2435 0.5000  4 V 2.52, 2 Co 2.61, 2 Ti 2.71
Co: 0.5000 0.5000 0.0000  4 Ti 2.51, 4 V 2.61

Number 1: V 98.9 Å³ per cell. Number 2: V 151.8 Å³ per cell. Number 3: V 78.4 Å³ per cell. Number 4: V 102.8 Å³ per cell. Number 5: V 105.6 Å³ per cell. Number 6: V 53.2 Å³ per cell.